Computed, not measured: an optimized crystal structure of YHo2Lu at the PBE level of DFT. Values from VASP.

```
&SYSTEM
  ibrav = 0, nat = 4, ntyp = 3
/
ATOMIC_SPECIES
Lu 174.97 Lu.upf
Ho 164.93 Ho.upf
Y 88.91 Y.upf
CELL_PARAMETERS angstrom
-3.011 -2.959 2.641
2.991 0.482 3.949
-2.602 3.975 1.486
ATOMIC_POSITIONS crystal
Lu 0.500 0.500 0.500
Ho 0.000 0.000 0.500
Ho 0.000 0.500 0.000
Y 0.500 0.000 0.000
```

Values from the calculation:
energy of formation from the pure elements = 0.029 eV/atom
D(E_F) = 5.88 states/eV/f.u.
V = 123.38 Å³ per cell
distance to the lowest polymorph of the same formula = 0.001 eV/atom
magnetic moment = 0.0 μB/f.u.

---

Computed, not measured: an optimized crystal structure of MgCd4Au5 at the PBE level of DFT. Values from VASP.

```
&SYSTEM
  ibrav = 0, nat = 10, ntyp = 3
/
ATOMIC_SPECIES
Cd 112.41 Cd.upf
Mg 24.30 Mg.upf
Au 196.97 Au.upf
CELL_PARAMETERS angstrom
3.308 0.000 0.000
0.000 3.308 0.000
0.000 0.000 17.526
ATOMIC_POSITIONS crystal
Cd 0.000 0.000 0.602
Cd 0.000 0.000 0.398
Mg 0.000 0.000 0.000
Cd 0.000 0.000 0.806
Cd 0.000 0.000 0.194
Au 0.500 0.500 0.296
Au 0.500 0.500 0.910
Au 0.500 0.500 0.090
Au 0.500 0.500 0.500
Au 0.500 0.500 0.704
```

Values from the calculation:
energy of formation from the pure elements = -0.265 eV/atom
D(E_F) = 2.62 states/eV/f.u.
V = 191.84 Å³ per cell
magnetic moment = 0.0 μB/f.u.

---

Computed, not measured: an optimized crystal structure of NbCrCd2Ga at the PBE level of DFT. Values from VASP.

```
&SYSTEM
  ibrav = 0, nat = 5, ntyp = 4
/
ATOMIC_SPECIES
Cd 112.41 Cd.upf
Ga 69.72 Ga.upf
Cr 52.00 Cr.upf
Nb 92.91 Nb.upf
CELL_PARAMETERS angstrom
-5.087 -1.023 -0.031
0.554 -2.853 3.256
-0.783 3.792 3.455
ATOMIC_POSITIONS crystal
Cd 0.500 0.000 0.000
Ga 0.500 0.500 0.500
Cr 0.000 0.000 0.000
Cd 0.000 0.000 0.500
Nb 0.000 0.500 0.000
```

Values from the calculation:
energy of formation from the pure elements = 0.851 eV/atom
D(E_F) = 3.62 states/eV/f.u.
V = 117.51 Å³ per cell
magnetic moment = 0.4 μB/f.u.

---

Computed, not measured: an optimized crystal structure of Zn2SiOsRh at the PBE level of DFT. Values from VASP.

```
&SYSTEM
  ibrav = 0, nat = 5, ntyp = 4
/
ATOMIC_SPECIES
Rh 102.91 Rh.upf
Os 190.23 Os.upf
Zn 65.41 Zn.upf
Si 28.09 Si.upf
CELL_PARAMETERS angstrom
-0.339 4.473 -1.227
0.838 -1.151 -4.428
-4.299 -0.513 -0.681
ATOMIC_POSITIONS crystal
Rh 0.000 0.000 0.000
Os 0.500 0.500 0.500
Zn 0.000 0.500 0.000
Si 0.000 0.000 0.500
Zn 0.500 0.000 0.000
```

Values from the calculation:
raw formation energy = 5.08 eV/f.u.
D(E_F) = 4.94 states/eV/f.u.
V = 94.80 Å³ per cell
magnetic moment = 2.3 μB/f.u.

---

Computed, not measured: an optimized crystal structure of AcGe3Ir3 at the PBE level of DFT. Values from VASP.

```
&SYSTEM
  ibrav = 0, nat = 14, ntyp = 3
/
ATOMIC_SPECIES
Ge 72.64 Ge.upf
Ir 192.22 Ir.upf
Ac 227.00 Ac.upf
CELL_PARAMETERS angstrom
6.810 0.000 0.000
0.000 6.810 0.000
0.000 0.000 6.810
ATOMIC_POSITIONS crystal
Ge 0.500 0.000 0.750
Ge 0.500 0.000 0.250
Ge 0.250 0.500 0.000
Ge 0.000 0.250 0.500
Ir 0.250 0.000 0.500
Ir 0.000 0.500 0.750
Ac 0.500 0.500 0.500
Ge 0.750 0.500 0.000
Ir 0.500 0.250 0.000
Ir 0.750 0.000 0.500
Ac 0.000 0.000 0.000
Ir 0.000 0.500 0.250
Ir 0.500 0.750 0.000
Ge 0.000 0.750 0.500
```

Values from the calculation:
energy of formation from the pure elements = -0.290 eV/atom
D(E_F) = 5.39 states/eV/f.u.
V = 315.89 Å³ per cell
distance to the lowest polymorph of the same formula = 0.116 eV/atom
magnetic moment = 0.0 μB/f.u.

---

Computed, not measured: an optimized crystal structure of Mn12Os17 at the PBE level of DFT. Values from VASP.

```
&SYSTEM
  ibrav = 0, nat = 29, ntyp = 2
/
ATOMIC_SPECIES
Os 190.23 Os.upf
Mn 54.94 Mn.upf
CELL_PARAMETERS angstrom
7.871 0.000 0.000
-2.624 7.421 0.000
-2.624 -3.710 6.426
ATOMIC_POSITIONS crystal
Os 0.320 0.320 0.711
Os 0.680 0.000 0.391
Os 0.652 0.000 0.000
Os 0.000 0.000 0.652
Mn 0.188 0.359 0.000
Os 0.391 0.680 0.000
Os 0.391 0.000 0.680
Mn 0.188 0.000 0.359
Os 0.609 0.289 0.609
Os 0.711 0.320 0.320
Os 0.000 0.680 0.391
Os 0.320 0.711 0.320
Mn 0.641 0.641 0.828
Mn 0.812 0.812 0.172
Os 0.000 0.652 0.000
Os 0.680 0.391 0.000
Os 0.000 0.391 0.680
Mn 0.359 0.000 0.188
Mn 0.000 0.359 0.188
Os 0.000 0.000 0.000
Os 0.348 0.348 0.348
Mn 0.000 0.188 0.359
Mn 0.641 0.828 0.641
Mn 0.828 0.641 0.641
Os 0.289 0.609 0.609
Mn 0.812 0.172 0.812
Mn 0.359 0.188 0.000
Mn 0.172 0.812 0.812
Os 0.609 0.609 0.289
```

Values from the calculation:
energy of formation from the pure elements = 0.055 eV/atom
D(E_F) = 28.21 states/eV/f.u.
V = 375.34 Å³ per cell
magnetic moment = 0.0 μB/f.u.

---

Computed, not measured: an optimized crystal structure of InPdSe at the PBE level of DFT. Values from VASP.

```
&SYSTEM
  ibrav = 0, nat = 3, ntyp = 3
/
ATOMIC_SPECIES
In 114.82 In.upf
Se 78.96 Se.upf
Pd 106.42 Pd.upf
CELL_PARAMETERS angstrom
-2.184 0.398 -3.957
2.092 -1.118 -3.868
-1.270 -3.715 -2.274
ATOMIC_POSITIONS crystal
In 0.500 0.500 0.500
Se 0.000 0.000 0.000
Pd 0.250 0.250 0.250
```

Values from the calculation:
raw formation energy = -0.98 eV/f.u.
D(E_F) = 2.20 states/eV/f.u.
V = 66.04 Å³ per cell
magnetic moment = 0.0 μB/f.u.

---

Computed, not measured: an optimized crystal structure of NbCdAs2 at the PBE level of DFT. Values from VASP.

```
&SYSTEM
  ibrav = 0, nat = 4, ntyp = 3
/
ATOMIC_SPECIES
Nb 92.91 Nb.upf
As 74.92 As.upf
Cd 112.41 Cd.upf
CELL_PARAMETERS angstrom
-1.149 0.870 -3.042
-3.264 -0.369 -0.735
-2.980 7.949 1.536
ATOMIC_POSITIONS crystal
Nb 0.666 0.666 0.002
As 0.262 0.262 0.215
Cd 0.501 0.501 0.498
As 0.071 0.071 0.786
```

Values from the calculation:
energy of formation from the pure elements = -0.151 eV/atom
D(E_F) = 2.61 states/eV/f.u.
V = 82.49 Å³ per cell
magnetic moment = 0.0 μB/f.u.

---

Computed, not measured: an optimized crystal structure of KNdPt4 at the PBE level of DFT. Values from VASP.

```
&SYSTEM
  ibrav = 0, nat = 6, ntyp = 3
/
ATOMIC_SPECIES
Pt 195.08 Pt.upf
Nd 144.24 Nd.upf
K 39.10 K.upf
CELL_PARAMETERS angstrom
-1.092 3.587 -4.045
-1.765 -1.820 -4.898
-5.214 0.895 -1.559
ATOMIC_POSITIONS crystal
Pt 0.625 0.125 0.625
Pt 0.625 0.625 0.625
Pt 0.625 0.625 0.125
Pt 0.125 0.625 0.625
Nd 0.250 0.250 0.250
K 0.000 0.000 0.000
```

Values from the calculation:
energy of formation from the pure elements = -0.684 eV/atom
D(E_F) = 3.46 states/eV/f.u.
V = 118.63 Å³ per cell
magnetic moment = 0.0 μB/f.u.

---

Computed, not measured: an optimized crystal structure of Tb2RuPb at the PBE level of DFT. Values from VASP.

```
&SYSTEM
  ibrav = 0, nat = 4, ntyp = 3
/
ATOMIC_SPECIES
Pb 207.20 Pb.upf
Tb 158.93 Tb.upf
Ru 101.07 Ru.upf
CELL_PARAMETERS angstrom
3.626 0.000 0.000
1.813 3.141 0.000
1.813 1.047 9.124
ATOMIC_POSITIONS crystal
Pb 0.500 0.500 0.500
Tb 0.265 0.265 0.204
Ru 0.000 0.000 0.000
Tb 0.735 0.735 0.796
```

Values from the calculation:
energy of formation from the pure elements = -0.255 eV/atom
D(E_F) = 3.48 states/eV/f.u.
V = 103.92 Å³ per cell
distance to the lowest polymorph of the same formula = 0.202 eV/atom
magnetic moment = 0.0 μB/f.u.

---

Computed, not measured: an optimized crystal structure of P2PdRu at the PBE level of DFT. Values from VASP.

```
&SYSTEM
  ibrav = 0, nat = 4, ntyp = 3
/
ATOMIC_SPECIES
Pd 106.42 Pd.upf
Ru 101.07 Ru.upf
P 30.97 P.upf
CELL_PARAMETERS angstrom
0.000 3.019 3.019
3.019 0.000 3.019
3.019 3.019 0.000
ATOMIC_POSITIONS crystal
Pd 0.500 0.500 0.500
Ru 0.000 0.000 0.000
P 0.250 0.250 0.250
P 0.750 0.750 0.750
```

Values from the calculation:
energy of formation from the pure elements = 0.024 eV/atom
D(E_F) = 4.56 states/eV/f.u.
V = 55.05 Å³ per cell
distance to the lowest polymorph of the same formula = 0.242 eV/atom
magnetic moment = 0.0 μB/f.u.

---

Computed, not measured: an optimized crystal structure of As2RhAu at the PBE level of DFT. Values from VASP.

```
&SYSTEM
  ibrav = 0, nat = 4, ntyp = 3
/
ATOMIC_SPECIES
Au 196.97 Au.upf
As 74.92 As.upf
Rh 102.91 Rh.upf
CELL_PARAMETERS angstrom
-5.088 2.560 2.222
-4.078 -2.655 3.701
5.630 1.990 -1.310
ATOMIC_POSITIONS crystal
Au 0.250 0.750 0.500
As 0.561 0.561 0.000
Rh 0.750 0.250 0.500
As 0.939 0.939 0.000
```

Values from the calculation:
energy of formation from the pure elements = 0.027 eV/atom
D(E_F) = 2.33 states/eV/f.u.
V = 74.64 Å³ per cell
magnetic moment = 0.0 μB/f.u.